(1)
Computed, not measured: an optimized crystal structure of CrB3Pb at the PBE level of DFT.

Properties
* electronic total energy: -5.626 eV per atom
* density of states at the Fermi level: 2.76 states/eV/cell
* calculated formation energy: 1.0469 eV/atom

Unit cell a=4.0875 b=4.0875 c=4.0875 alpha=90.00 beta=90.00 gamma=90.00
Atoms (fractional coordinates):
Pb 0.5000 0.5000 0.5000
Cr 0.0000 0.0000 0.0000
B 0.0000 0.5000 0.0000
B 0.0000 0.0000 0.5000
B 0.5000 0.0000 0.0000

=====

(2)
Computed, not measured: an optimized crystal structure of CeInGa at the PBE level of DFT.

Properties
* electronic total energy: -4.318 eV per atom
* density of states at the Fermi level: 5.37 states/eV/cell
* calculated formation energy: -0.4184 eV/atom

Unit cell a=3.5822 b=4.8233 c=4.8233 alpha=120.00 beta=90.00 gamma=90.00
Atoms (fractional coordinates):
Ga 0.1648 0.0000 0.0000
Ce 0.6672 0.6667 0.3333
In 0.1680 0.3333 0.6667

=====

(3)
Computed, not measured: an optimized crystal structure of IBrO2F at the PBE level of DFT.

Properties
* uncorrected formation energy: 0.3555 eV per atom
* electronic total energy: -2.647 eV per atom
* density of states at the Fermi level: 3.79 states/eV/cell

Unit cell a=3.7853 b=3.7853 c=8.0289 alpha=90.00 beta=90.00 gamma=90.00
Atoms (fractional coordinates):
I 0.0000 0.0000 0.5000
O 0.0000 0.5000 0.0000
O 0.5000 0.0000 0.0000
Br 0.0000 0.0000 0.0000
F 0.5000 0.5000 0.5000

=====

(4)
Computed, not measured: an optimized crystal structure of InMoOs2 at the PBE level of DFT.

Properties
* electronic total energy: -8.535 eV per atom
* density of states at the Fermi level: 2.56 states/eV/cell
* calculated formation energy: 0.4722 eV/atom

Unit cell a=3.1537 b=4.5158 c=4.5158 alpha=90.00 beta=90.00 gamma=90.00
Atoms (fractional coordinates):
In 0.5000 0.5000 0.0000
Mo 0.5000 0.0000 0.5000
Os 0.0000 0.0000 0.0000
Os 0.0000 0.5000 0.5000

=====

Copy entry 2 word for word.
Computed, not measured: an optimized crystal structure of CeInGa at the PBE level of DFT.

Properties
* electronic total energy: -4.318 eV per atom
* density of states at the Fermi level: 5.37 states/eV/cell
* calculated formation energy: -0.4184 eV/atom

Unit cell a=3.5822 b=4.8233 c=4.8233 alpha=120.00 beta=90.00 gamma=90.00
Atoms (fractional coordinates):
Ga 0.1648 0.0000 0.0000
Ce 0.6672 0.6667 0.3333
In 0.1680 0.3333 0.6667

=====

Question: Which value of density of states at the Fermi level does entry 1 give?
Answer: 2.76 states/eV/cell

=====

Question: Look up the electronic total energy of the third one.
Answer: -2.647 eV per atom